Density functional theory data (PBE) for a geometry-optimized ZnRu2Se structure.

Computed properties:
energy relative to the elements, uncorrected	0.2052	eV per atom
crystal system	trigonal
density of states at the Fermi level	10.120	states/eV per cell
total energy	-67.468	eV/cell
relative energy among the computed polymorphs	115	meV/atom

Unit cell a=2.9005 b=2.9005 c=25.5213 alpha=90.00 beta=90.00 gamma=120.00
Space group R3m (No. 160, hexagonal axes)
Asymmetric unit:
Zn 0.0000 0.0000 0.0000 [3 per cell]
Ru 0.0000 0.0000 0.4945 [3 per cell]
Ru 0.0000 0.0000 0.7470 [3 per cell]
Se 0.0000 0.0000 0.2371 [3 per cell]

---

Density functional theory data (PBE) for a geometry-optimized ReSbOsRh2 structure.

Computed properties:
energy relative to the elements, uncorrected	2.0692	eV per atom
crystal system	tetragonal
density of states at the Fermi level	6.578	states/eV per cell
total energy	-32.157	eV/cell

Unit cell a=4.7055 b=4.7055 c=4.8245 alpha=90.00 beta=90.00 gamma=90.00
Space group P4/mmm (No. 123)
Asymmetric unit:
Re 0.0000 0.0000 0.0000 [1 per cell]
Sb 0.5000 0.5000 0.5000 [1 per cell]
Os 0.5000 0.5000 0.0000 [1 per cell]
Rh 0.0000 0.5000 0.5000 [2 per cell]

---

Density functional theory data (PBE) for a geometry-optimized Cs2TaCuBr6 structure.

Computed properties:
energy relative to the elements, uncorrected	-0.9644	eV per atom
crystal system	tetragonal
density of states at the Fermi level	20.090	states/eV per cell
total energy	-74.674	eV/cell

Unit cell a=7.5189 b=7.5189 c=11.2474 alpha=90.00 beta=90.00 gamma=90.00
Space group I4/mmm (No. 139)
Asymmetric unit:
Cs 0.0000 0.5000 0.2500 [4 per cell]
Ta 0.0000 0.0000 0.0000 [2 per cell]
Cu 0.0000 0.0000 0.5000 [2 per cell]
Br 0.0000 0.0000 0.2353 [4 per cell]
Br 0.2490 0.2490 0.5000 [8 per cell]

---

Density functional theory data (PBE) for a geometry-optimized LaHo5Bi4 structure.

Computed properties:
calculated formation energy	-0.565	eV per atom
crystal system	monoclinic
density of states at the Fermi level	14.773	states/eV per cell
total energy	-97.973	eV/cell

Unit cell a=20.0603 b=4.4382 c=7.7983 alpha=90.00 beta=101.91 gamma=90.00
Space group C2/m (No. 12)
Asymmetric unit:
La 0.0000 0.0000 0.0000 [2 per cell]
Ho 0.0000 0.0000 0.5000 [2 per cell]
Ho 0.1890 0.5000 0.0855 [4 per cell]
Ho 0.1963 0.5000 0.6108 [4 per cell]
Bi 0.0656 0.5000 0.7702 [4 per cell]
Bi 0.1378 0.0000 0.3290 [4 per cell]

---

Density functional theory data (PBE) for a geometry-optimized K2CaTc structure.

Computed properties:
calculated formation energy	0.810	eV per atom
crystal system	monoclinic
density of states at the Fermi level	3.521	states/eV per cell
total energy	-11.323	eV/cell
relative energy among the computed polymorphs	0	meV/atom

Unit cell a=3.6090 b=3.5961 c=11.8598 alpha=90.00 beta=90.11 gamma=90.00
Space group Pm (No. 6)
Asymmetric unit:
K 0.0000 0.0000 0.0000 [1 per cell]
K 0.4910 0.5000 0.3514 [1 per cell]
Ca 0.4941 0.5000 0.6965 [1 per cell]
Tc 0.9927 0.0000 0.5551 [1 per cell]

---

Density functional theory data (PBE) for a geometry-optimized CaPm2Y3Se6 structure.

Computed properties:
energy relative to the elements, uncorrected	-1.8345	eV per atom
crystal system	monoclinic
density of states at the Fermi level	10.500	states/eV per cell
total energy	-147.633	eV/cell

Unit cell a=18.0696 b=4.1198 c=8.3308 alpha=90.00 beta=103.49 gamma=90.00
Space group C2/m (No. 12)
Asymmetric unit:
Ca 0.0000 0.0000 0.0000 [2 per cell]
Pm 0.1714 0.5000 0.3419 [4 per cell]
Y 0.0000 0.0000 0.5000 [2 per cell]
Y 0.1692 0.5000 0.8289 [4 per cell]
Se 0.0013 0.5000 0.7492 [4 per cell]
Se 0.1618 0.0000 0.5885 [4 per cell]
Se 0.1659 0.0000 0.0757 [4 per cell]

---

Density functional theory data (PBE) for a geometry-optimized LiTb8Sb6 structure.

Computed properties:
energy relative to the elements, uncorrected	-0.8092	eV per atom
crystal system	trigonal
density of states at the Fermi level	34.791	states/eV per cell
total energy	-227.484	eV/cell

Unit cell a=9.1029 b=9.1029 c=18.7715 alpha=90.00 beta=90.00 gamma=120.00
Space group R-3 (No. 148, hexagonal axes)
Asymmetric unit:
Li 0.0000 0.0000 0.0000 [3 per cell]
Tb 0.0000 0.0000 0.3315 [6 per cell]
Tb 0.0037 0.2877 0.0927 [18 per cell]
Sb 0.0024 0.3709 0.9239 [18 per cell]

---

Density functional theory data (PBE) for a geometry-optimized TbSnMo structure.

Computed properties:
calculated formation energy	0.149	eV per atom
crystal system	trigonal
density of states at the Fermi level	11.672	states/eV per cell
total energy	-114.095	eV/cell

Unit cell a=3.3790 b=3.3790 c=43.6332 alpha=90.00 beta=90.00 gamma=120.00
Space group R-3m (No. 166, hexagonal axes)
Asymmetric unit:
Tb 0.0000 0.0000 0.0926 [6 per cell]
Sn 0.0000 0.0000 0.3636 [6 per cell]
Mo 0.0000 0.0000 0.1854 [6 per cell]

---

Density functional theory data (PBE) for a geometry-optimized Tb6SmS8 structure.

Computed properties:
energy relative to the elements, uncorrected	-2.0514	eV per atom
crystal system	cubic
density of states at the Fermi level	24.119	states/eV per cell
total energy	-385.168	eV/cell

Unit cell a=11.1013 b=11.1013 c=11.1013 alpha=90.00 beta=90.00 gamma=90.00
Space group Fm-3m (No. 225)
Asymmetric unit:
Tb 0.0000 0.2500 0.2500 [24 per cell]
Sm 0.0000 0.0000 0.0000 [4 per cell]
S 0.0000 0.0000 0.2542 [24 per cell]
S 0.2500 0.2500 0.2500 [8 per cell]

---

Density functional theory data (PBE) for a geometry-optimized Y5Er4Tm2 structure.

Computed properties:
calculated formation energy	0.160	eV per atom
crystal system	monoclinic
density of states at the Fermi level	38.905	states/eV per cell
total energy	-115.512	eV/cell
relative energy among the computed polymorphs	60	meV/atom

Unit cell a=23.6308 b=3.4609 c=8.6311 alpha=90.00 beta=96.74 gamma=90.00
Space group C2/m (No. 12)
Asymmetric unit:
Y 0.0000 0.0000 0.0000 [2 per cell]
Y 0.1400 0.5000 0.1186 [4 per cell]
Y 0.2312 0.5000 0.8204 [4 per cell]
Er 0.0452 0.5000 0.3616 [4 per cell]
Er 0.1748 0.0000 0.4710 [4 per cell]
Tm 0.0912 0.5000 0.7374 [4 per cell]

---

Density functional theory data (PBE) for a geometry-optimized Cs2CaSO6 structure.

Computed properties:
energy relative to the elements, uncorrected	-1.3886	eV per atom
crystal system	trigonal
density of states at the Fermi level	4.309	states/eV per cell
total energy	-51.471	eV/cell

Unit cell a=6.6040 b=6.6040 c=5.7504 alpha=90.00 beta=90.00 gamma=120.00
Space group P-3m1 (No. 164)
Asymmetric unit:
Cs 0.3333 0.6667 0.3472 [2 per cell]
Ca 0.0000 0.0000 0.0000 [1 per cell]
S 0.0000 0.0000 0.5000 [1 per cell]
O 0.1188 0.2375 0.6688 [6 per cell]

---

Density functional theory data (PBE) for a geometry-optimized CeNdDy2Tl4 structure.

Computed properties:
calculated formation energy	-0.320	eV per atom
crystal system	trigonal
density of states at the Fermi level	37.018	states/eV per cell
total energy	-95.802	eV/cell

Unit cell a=5.4433 b=5.4433 c=26.7322 alpha=90.00 beta=90.00 gamma=120.00
Space group R-3m (No. 166, hexagonal axes)
Asymmetric unit:
Ce 0.0000 0.0000 0.0000 [3 per cell]
Nd 0.0000 0.0000 0.5000 [3 per cell]
Dy 0.0000 0.0000 0.2499 [6 per cell]
Tl 0.0000 0.0000 0.1248 [6 per cell]
Tl 0.0000 0.0000 0.3749 [6 per cell]